LiPmGe2Ru | PBE | optimized geometry

Properties
Total DFT energy (no corrections), eV per atom: -5.577
DFT formation energy, eV per atom: -0.542

abc: 4.1891 4.1891 10.5124
angles: 90.00 90.00 90.00
Last column: nearest neighbours and their distance in Å.
Sites, in units of the cell vectors:
Li 0.0000 0.0000 0.0000  4 Ge 2.47
Li 0.5000 0.5000 0.5000  4 Ge 2.47
Pm 0.0000 0.5000 0.7500  8 Ge 3.24, 4 Li 3.36, 4 Ru 3.36
Pm 0.5000 0.0000 0.2500  8 Ge 3.24, 4 Li 3.36, 4 Ru 3.36
Ge 0.0000 0.5000 0.1253  2 Li 2.47, 2 Ru 2.47, 1 Ge 2.62
Ge 0.0000 0.5000 0.3747  2 Li 2.47, 2 Ru 2.47, 1 Ge 2.62
Ge 0.5000 0.0000 0.6253  2 Li 2.47, 2 Ru 2.47, 1 Ge 2.62
Ge 0.5000 0.0000 0.8747  2 Li 2.47, 2 Ru 2.47, 1 Ge 2.62
Ru 0.0000 0.0000 0.5000  4 Ge 2.47
Ru 0.5000 0.5000 0.0000  4 Ge 2.47

***

Pm4Ni13B4 | PBE | optimized geometry

Properties
Total DFT energy (no corrections), eV per atom: -6.098
DFT formation energy, eV per atom: -0.342

abc: 8.6165 8.6165 3.9458
angles: 90.00 90.00 90.50
Last column: nearest neighbours and their distance in Å.
Sites, in units of the cell vectors:
Pm 0.1917 0.8083 0.0000  8 Ni 2.77-3.06
Pm 0.3458 0.3458 0.0000  5 Ni 2.73-3.05, 4 B 2.83
Pm 0.6542 0.6542 0.0000  5 Ni 2.73-3.05, 4 B 2.83
Pm 0.8083 0.1917 0.0000  8 Ni 2.77-3.06
Ni 0.0000 0.0000 0.5000  8 Ni 2.46-2.53
Ni 0.0000 0.5000 0.0000  2 B 1.97
Ni 0.0736 0.2852 0.5000  1 B 1.96
Ni 0.1211 0.1211 0.0000  6 Ni 2.46, 1 Pm 2.73
Ni 0.2095 0.5772 0.5000  2 B 1.92-1.95
Ni 0.2852 0.0736 0.5000  1 B 1.96
Ni 0.4228 0.7905 0.5000  2 B 1.92-1.95
Ni 0.5000 0.0000 0.0000  2 B 1.97
Ni 0.5772 0.2095 0.5000  2 B 1.92-1.95
Ni 0.7148 0.9264 0.5000  1 B 1.96
Ni 0.7905 0.4228 0.5000  2 B 1.92-1.95
Ni 0.8789 0.8789 0.0000  6 Ni 2.46, 1 Pm 2.73
Ni 0.9264 0.7148 0.5000  1 B 1.96
B 0.0000 0.5000 0.5000  6 Ni 1.92-1.97
B 0.4352 0.5648 0.5000  1 B 1.59
B 0.5000 0.0000 0.5000  6 Ni 1.92-1.97
B 0.5648 0.4352 0.5000  1 B 1.59